# 1
Entry from Alexandria via LeMat-Bulk: a relaxed structure of CdPtNO2 (PBE-GGA).

energy relative to the elements, uncorrected = 0.298 eV per atom
SG = P4/mmm
density of states at the Fermi level = 2.14 states/eV/f.u.
raw total energy = -4.741 eV/atom
theoretical density = 8868 kg/m³
crystal system = tetragonal

Geometry as POSCAR:
```
CdPtNO2
1.0
4.2471 0.0000 0.0000
0.0000 4.2471 0.0000
0.0000 0.0000 3.6695
Cd Pt N O
1 1 1 2
direct
0.0000 0.0000 0.0000
0.5000 0.5000 0.5000
0.5000 0.5000 0.0000
0.0000 0.5000 0.5000
0.5000 0.0000 0.5000
```

=====

# 2
Entry from Alexandria via LeMat-Bulk: a relaxed structure of CdPtN2O (PBE-GGA).

energy relative to the elements, uncorrected = 2.190 eV per atom
SG = P4/mmm
density of states at the Fermi level = 5.18 states/eV/f.u.
raw total energy = -3.523 eV/atom
theoretical density = 8023 kg/m³
crystal system = tetragonal

Geometry as POSCAR:
```
CdPtN2O
1.0
4.2125 0.0000 0.0000
0.0000 4.2125 0.0000
0.0000 0.0000 4.1000
Cd Pt N O
1 1 2 1
direct
0.0000 0.0000 0.0000
0.5000 0.5000 0.5000
0.0000 0.5000 0.0000
0.5000 0.0000 0.0000
0.0000 0.0000 0.5000
```

=====

# 3
Entry from Alexandria via LeMat-Bulk: a relaxed structure of CdPtNO2 (PBE-GGA).

energy relative to the elements, uncorrected = 1.508 eV per atom
SG = P4/mmm
density of states at the Fermi level = 4.65 states/eV/f.u.
raw total energy = -3.531 eV/atom
theoretical density = 8031 kg/m³
crystal system = tetragonal

Geometry as POSCAR:
```
CdPtNO2
1.0
4.1758 0.0000 0.0000
0.0000 4.1758 0.0000
0.0000 0.0000 4.1920
Cd Pt N O
1 1 1 2
direct
0.0000 0.0000 0.0000
0.5000 0.5000 0.5000
0.0000 0.0000 0.5000
0.0000 0.5000 0.0000
0.5000 0.0000 0.0000
```

=====

# 4
Entry from Alexandria via LeMat-Bulk: a relaxed structure of CdPtN2O (PBE-GGA).

energy relative to the elements, uncorrected = 0.975 eV per atom
SG = P4/mmm
density of states at the Fermi level = 2.01 states/eV/f.u.
raw total energy = -4.738 eV/atom
theoretical density = 8467 kg/m³
crystal system = tetragonal

Geometry as POSCAR:
```
CdPtN2O
1.0
3.7640 0.0000 0.0000
0.0000 3.7640 0.0000
0.0000 0.0000 4.8660
Cd Pt N O
1 1 2 1
direct
0.0000 0.0000 0.0000
0.5000 0.5000 0.5000
0.0000 0.5000 0.5000
0.5000 0.0000 0.5000
0.5000 0.5000 0.0000
```

=====

# 5
Entry from Alexandria via LeMat-Bulk: a relaxed structure of RbCdN2O (PBE-GGA).

energy relative to the elements, uncorrected = 2.102 eV per atom
SG = P4/mmm
density of states at the Fermi level = 6.38 states/eV/f.u.
raw total energy = -2.597 eV/atom
theoretical density = 2610 kg/m³
crystal system = tetragonal

Geometry as POSCAR:
```
RbCdN2O
1.0
5.5155 0.0000 0.0000
0.0000 5.5155 0.0000
0.0000 0.0000 5.0588
Rb Cd N O
1 1 2 1
direct
0.0000 0.0000 0.0000
0.5000 0.5000 0.5000
0.0000 0.5000 0.0000
0.5000 0.0000 0.0000
0.0000 0.0000 0.5000
```

=====

# 6
Entry from Alexandria via LeMat-Bulk: a relaxed structure of RbCdN2O (PBE-GGA).

energy relative to the elements, uncorrected = 1.088 eV per atom
SG = P4/mmm
density of states at the Fermi level = 2.78 states/eV/f.u.
raw total energy = -3.610 eV/atom
theoretical density = 4196 kg/m³
crystal system = tetragonal

Geometry as POSCAR:
```
RbCdN2O
1.0
4.6234 0.0000 0.0000
0.0000 4.6234 0.0000
0.0000 0.0000 4.4786
Rb Cd N O
1 1 2 1
direct
0.0000 0.0000 0.0000
0.5000 0.5000 0.5000
0.0000 0.5000 0.5000
0.5000 0.0000 0.5000
0.5000 0.5000 0.0000
```

=====

# 7
Entry from Alexandria via LeMat-Bulk: a relaxed structure of RbCdN2O (PBE-GGA).

energy relative to the elements, uncorrected = 1.493 eV per atom
SG = P4/mmm
density of states at the Fermi level = 2.65 states/eV/f.u.
raw total energy = -3.206 eV/atom
theoretical density = 3441 kg/m³
crystal system = tetragonal

Geometry as POSCAR:
```
RbCdN2O
1.0
5.4633 0.0000 0.0000
0.0000 5.4633 0.0000
0.0000 0.0000 3.9105
Rb Cd N O
1 1 2 1
direct
0.0000 0.0000 0.0000
0.5000 0.5000 0.0000
0.0000 0.5000 0.5000
0.5000 0.0000 0.5000
0.5000 0.5000 0.5000
```

=====

# 8
Entry from Alexandria via LeMat-Bulk: a relaxed structure of CdReN2O (PBE-GGA).

energy relative to the elements, uncorrected = 2.448 eV per atom
SG = P4/mmm
density of states at the Fermi level = 7.05 states/eV/f.u.
raw total energy = -4.547 eV/atom
theoretical density = 8660 kg/m³
crystal system = tetragonal

Geometry as POSCAR:
```
CdReN2O
1.0
4.0642 0.0000 0.0000
0.0000 4.0642 0.0000
0.0000 0.0000 3.9776
Cd Re N O
1 1 2 1
direct
0.0000 0.0000 0.0000
0.5000 0.5000 0.5000
0.0000 0.5000 0.0000
0.5000 0.0000 0.0000
0.0000 0.0000 0.5000
```

=====

# 9
Entry from Alexandria via LeMat-Bulk: a relaxed structure of CdReN2O (PBE-GGA).

energy relative to the elements, uncorrected = 0.014 eV per atom
SG = P4/mmm
density of states at the Fermi level = 1.89 states/eV/f.u.
raw total energy = -6.981 eV/atom
theoretical density = 9363 kg/m³
crystal system = tetragonal

Geometry as POSCAR:
```
CdReN2O
1.0
3.9561 0.0000 0.0000
0.0000 3.9561 0.0000
0.0000 0.0000 3.8826
Cd Re N O
1 1 2 1
direct
0.0000 0.0000 0.0000
0.5000 0.5000 0.5000
0.0000 0.5000 0.5000
0.5000 0.0000 0.5000
0.5000 0.5000 0.0000
```

=====

# 10
Entry from Alexandria via LeMat-Bulk: a relaxed structure of CdReNO2 (PBE-GGA).

energy relative to the elements, uncorrected = 1.612 eV per atom
SG = P4/mmm
density of states at the Fermi level = 3.17 states/eV/f.u.
raw total energy = -4.709 eV/atom
theoretical density = 8195 kg/m³
crystal system = tetragonal

Geometry as POSCAR:
```
CdReNO2
1.0
4.0510 0.0000 0.0000
0.0000 4.0510 0.0000
0.0000 0.0000 4.2554
Cd Re N O
1 1 1 2
direct
0.0000 0.0000 0.0000
0.5000 0.5000 0.5000
0.0000 0.0000 0.5000
0.0000 0.5000 0.0000
0.5000 0.0000 0.0000
```

=====

# 11
Entry from Alexandria via LeMat-Bulk: a relaxed structure of CdReNO2 (PBE-GGA).

energy relative to the elements, uncorrected = -0.538 eV per atom
SG = P4/mmm
density of states at the Fermi level = 2.46 states/eV/f.u.
raw total energy = -6.859 eV/atom
theoretical density = 9399 kg/m³
crystal system = tetragonal

Geometry as POSCAR:
```
CdReNO2
1.0
3.8998 0.0000 0.0000
0.0000 3.8998 0.0000
0.0000 0.0000 4.0032
Cd Re N O
1 1 1 2
direct
0.0000 0.0000 0.0000
0.5000 0.5000 0.5000
0.5000 0.5000 0.0000
0.0000 0.5000 0.5000
0.5000 0.0000 0.5000
```

=====

# 12
Entry from Alexandria via LeMat-Bulk: a relaxed structure of CdRhN2O (PBE-GGA).

energy relative to the elements, uncorrected = 0.775 eV per atom
SG = P4/mmm
density of states at the Fermi level = 3.20 states/eV/f.u.
raw total energy = -5.200 eV/atom
theoretical density = 6787 kg/m³
crystal system = tetragonal

Geometry as POSCAR:
```
CdRhN2O
1.0
3.7848 0.0000 0.0000
0.0000 3.7848 0.0000
0.0000 0.0000 4.4291
Cd Rh N O
1 1 2 1
direct
0.0000 0.0000 0.0000
0.5000 0.5000 0.5000
0.0000 0.5000 0.5000
0.5000 0.0000 0.5000
0.5000 0.5000 0.0000
```